(1)
# Cu2HN (PBE, optimized geometry)
# energy above the most stable polymorph in this dataset	0	meV/atom
data_Cu2HN
_cell_length_a 4.229
_cell_length_b 4.229
_cell_length_c 5.243
_cell_angle_alpha 66.21
_cell_angle_beta 66.21
_cell_angle_gamma 90.00
_symmetry_space_group_name_H-M 'P 1'
_symmetry_Int_Tables_number 1
loop_
_symmetry_equiv_pos_as_xyz
'x,y,z'
loop_
_atom_site_label
_atom_site_type_symbol
_atom_site_fract_x
_atom_site_fract_y
_atom_site_fract_z
_atom_site_occupancy
H1 H 0.500 0.500 0.000 1
H2 H 0.250 0.750 0.500 1
Cu1 Cu 0.599 0.125 0.250 1
Cu2 Cu 0.151 0.625 0.250 1
Cu3 Cu 0.375 0.401 0.750 1
Cu4 Cu 0.875 0.849 0.750 1
N1 N 0.000 0.000 0.000 1
N2 N 0.750 0.250 0.500 1

***

(2)
# CuHNO2 (PBE, optimized geometry)
# electronic total energy	-3.67	eV per atom
data_CuHNO2
_cell_length_a 3.764
_cell_length_b 3.764
_cell_length_c 3.909
_cell_angle_alpha 90.00
_cell_angle_beta 90.00
_cell_angle_gamma 90.00
_symmetry_space_group_name_H-M 'P 1'
_symmetry_Int_Tables_number 1
loop_
_symmetry_equiv_pos_as_xyz
'x,y,z'
loop_
_atom_site_label
_atom_site_type_symbol
_atom_site_fract_x
_atom_site_fract_y
_atom_site_fract_z
_atom_site_occupancy
H1 H 0.500 0.500 0.500 1
O1 O 0.000 0.500 0.000 1
O2 O 0.500 0.000 0.000 1
Cu1 Cu 0.000 0.000 0.000 1
N1 N 0.000 0.000 0.500 1

***

(3)
# CuHNO2 (PBE, optimized geometry)
# electronic total energy	-3.95	eV per atom
data_CuHNO2
_cell_length_a 3.842
_cell_length_b 3.842
_cell_length_c 2.525
_cell_angle_alpha 90.00
_cell_angle_beta 90.00
_cell_angle_gamma 90.00
_symmetry_space_group_name_H-M 'P 1'
_symmetry_Int_Tables_number 1
loop_
_symmetry_equiv_pos_as_xyz
'x,y,z'
loop_
_atom_site_label
_atom_site_type_symbol
_atom_site_fract_x
_atom_site_fract_y
_atom_site_fract_z
_atom_site_occupancy
H1 H 0.000 0.000 0.000 1
O1 O 0.000 0.500 0.000 1
O2 O 0.500 0.000 0.000 1
Cu1 Cu 0.500 0.500 0.500 1
N1 N 0.000 0.000 0.500 1

***

(4)
# CuPH6NO5 (PBE, optimized geometry)
# energy above the most stable polymorph in this dataset	0	meV/atom
data_CuPH6NO5
_cell_length_a 7.590
_cell_length_b 7.544
_cell_length_c 8.724
_cell_angle_alpha 90.00
_cell_angle_beta 95.60
_cell_angle_gamma 90.00
_symmetry_space_group_name_H-M 'P 1'
_symmetry_Int_Tables_number 1
loop_
_symmetry_equiv_pos_as_xyz
'x,y,z'
loop_
_atom_site_label
_atom_site_type_symbol
_atom_site_fract_x
_atom_site_fract_y
_atom_site_fract_z
_atom_site_occupancy
Cu1 Cu 0.424 0.306 0.964 1
Cu2 Cu 0.076 0.806 0.036 1
Cu3 Cu 0.576 0.694 0.036 1
Cu4 Cu 0.924 0.194 0.964 1
P1 P 0.328 0.949 0.807 1
P2 P 0.172 0.449 0.193 1
P3 P 0.672 0.051 0.193 1
P4 P 0.828 0.551 0.807 1
H1 H 0.342 0.565 0.801 1
H2 H 0.158 0.065 0.199 1
H3 H 0.658 0.435 0.199 1
H4 H 0.842 0.935 0.801 1
H5 H 0.174 0.436 0.801 1
H6 H 0.326 0.936 0.199 1
H7 H 0.826 0.564 0.199 1
H8 H 0.674 0.064 0.801 1
H9 H 0.395 0.816 0.528 1
H10 H 0.105 0.316 0.472 1
H11 H 0.605 0.184 0.472 1
H12 H 0.895 0.684 0.528 1
H13 H 0.573 0.675 0.539 1
H14 H 0.927 0.175 0.461 1
H15 H 0.427 0.325 0.461 1
H16 H 0.073 0.825 0.539 1
H17 H 0.512 0.786 0.371 1
H18 H 0.988 0.286 0.629 1
H19 H 0.488 0.214 0.629 1
H20 H 0.012 0.714 0.371 1
H21 H 0.382 0.622 0.428 1
H22 H 0.118 0.122 0.572 1
H23 H 0.618 0.378 0.572 1
H24 H 0.882 0.878 0.428 1
N1 N 0.467 0.726 0.467 1
N2 N 0.033 0.226 0.533 1
N3 N 0.533 0.274 0.533 1
N4 N 0.967 0.774 0.467 1
O1 O 0.302 0.439 0.781 1
O2 O 0.198 0.939 0.219 1
O3 O 0.698 0.561 0.219 1
O4 O 0.802 0.061 0.781 1
O5 O 0.467 0.105 0.829 1
O6 O 0.033 0.605 0.171 1
O7 O 0.533 0.895 0.171 1
O8 O 0.967 0.395 0.829 1
O9 O 0.258 0.941 0.635 1
O10 O 0.242 0.441 0.365 1
O11 O 0.742 0.059 0.365 1
O12 O 0.758 0.559 0.635 1
O13 O 0.323 0.490 0.089 1
O14 O 0.177 0.990 0.911 1
O15 O 0.677 0.510 0.911 1
O16 O 0.823 0.010 0.089 1
O17 O 0.576 0.229 0.149 1
O18 O 0.924 0.729 0.851 1
O19 O 0.424 0.771 0.851 1
O20 O 0.076 0.271 0.149 1

***

(5)
# CuPH6NO5 (PBE, optimized geometry)
# energy above the most stable polymorph in this dataset	25	meV/atom
data_CuPH6NO5
_cell_length_a 4.784
_cell_length_b 5.706
_cell_length_c 8.883
_cell_angle_alpha 90.00
_cell_angle_beta 90.00
_cell_angle_gamma 90.00
_symmetry_space_group_name_H-M 'P 1'
_symmetry_Int_Tables_number 1
loop_
_symmetry_equiv_pos_as_xyz
'x,y,z'
loop_
_atom_site_label
_atom_site_type_symbol
_atom_site_fract_x
_atom_site_fract_y
_atom_site_fract_z
_atom_site_occupancy
Cu1 Cu 0.485 0.000 0.026 1
Cu2 Cu 0.985 0.500 0.974 1
P1 P 0.923 0.000 0.809 1
P2 P 0.423 0.500 0.191 1
H1 H 0.558 0.000 0.546 1
H2 H 0.058 0.500 0.454 1
H3 H 0.382 0.149 0.410 1
H4 H 0.882 0.351 0.590 1
H5 H 0.382 0.851 0.410 1
H6 H 0.882 0.649 0.590 1
H7 H 0.196 0.000 0.543 1
H8 H 0.696 0.500 0.457 1
H9 H 0.913 0.138 0.178 1
H10 H 0.413 0.362 0.822 1
H11 H 0.913 0.862 0.178 1
H12 H 0.413 0.638 0.822 1
N1 N 0.379 0.000 0.476 1
N2 N 0.879 0.500 0.524 1
O1 O 0.772 0.782 0.881 1
O2 O 0.272 0.718 0.119 1
O3 O 0.772 0.218 0.881 1
O4 O 0.272 0.282 0.119 1
O5 O 0.239 0.000 0.840 1
O6 O 0.739 0.500 0.160 1
O7 O 0.880 0.000 0.635 1
O8 O 0.380 0.500 0.365 1
O9 O 0.791 0.000 0.195 1
O10 O 0.291 0.500 0.805 1

***

(6)
# CuH10Se2N2O10 (PBE, optimized geometry)
# electronic total energy	-5.04	eV per atom
data_CuH10Se2N2O10
_cell_length_a 5.201
_cell_length_b 7.553
_cell_length_c 8.214
_cell_angle_alpha 102.15
_cell_angle_beta 111.15
_cell_angle_gamma 86.17
_symmetry_space_group_name_H-M 'P 1'
_symmetry_Int_Tables_number 1
loop_
_symmetry_equiv_pos_as_xyz
'x,y,z'
loop_
_atom_site_label
_atom_site_type_symbol
_atom_site_fract_x
_atom_site_fract_y
_atom_site_fract_z
_atom_site_occupancy
Cu1 Cu 0.500 0.500 0.000 1
H1 H 0.307 0.207 0.432 1
H2 H 0.693 0.793 0.568 1
H3 H 0.057 0.084 0.258 1
H4 H 0.943 0.916 0.742 1
H5 H 0.974 0.214 0.426 1
H6 H 0.026 0.786 0.574 1
H7 H 0.065 0.316 0.288 1
H8 H 0.935 0.684 0.712 1
H9 H 0.308 0.236 0.004 1
H10 H 0.692 0.764 0.996 1
Se1 Se 0.182 0.701 0.247 1
Se2 Se 0.818 0.299 0.753 1
N1 N 0.101 0.205 0.351 1
N2 N 0.899 0.795 0.649 1
O1 O 0.001 0.852 0.130 1
O2 O 0.999 0.148 0.870 1
O3 O 0.293 0.787 0.465 1
O4 O 0.707 0.213 0.535 1
O5 O 0.002 0.510 0.190 1
O6 O 0.998 0.490 0.810 1
O7 O 0.492 0.659 0.210 1
O8 O 0.508 0.341 0.790 1
O9 O 0.479 0.306 0.091 1
O10 O 0.521 0.694 0.909 1

***

(7)
# CuH20Se2N2O14 (PBE, optimized geometry)
# electronic total energy	-5.04	eV per atom
data_CuH20Se2N2O14
_cell_length_a 6.620
_cell_length_b 9.328
_cell_length_c 12.559
_cell_angle_alpha 90.00
_cell_angle_beta 90.00
_cell_angle_gamma 105.25
_symmetry_space_group_name_H-M 'P 1'
_symmetry_Int_Tables_number 1
loop_
_symmetry_equiv_pos_as_xyz
'x,y,z'
loop_
_atom_site_label
_atom_site_type_symbol
_atom_site_fract_x
_atom_site_fract_y
_atom_site_fract_z
_atom_site_occupancy
Cu1 Cu 0.500 0.000 0.500 1
Cu2 Cu 0.500 0.500 0.000 1
H1 H 0.202 0.113 0.445 1
H2 H 0.798 0.387 0.945 1
H3 H 0.798 0.887 0.555 1
H4 H 0.202 0.613 0.055 1
H5 H 0.197 0.985 0.361 1
H6 H 0.803 0.515 0.861 1
H7 H 0.803 0.015 0.639 1
H8 H 0.197 0.485 0.139 1
H9 H 0.501 0.873 0.317 1
H10 H 0.499 0.627 0.817 1
H11 H 0.499 0.127 0.683 1
H12 H 0.501 0.373 0.183 1
H13 H 0.435 0.746 0.407 1
H14 H 0.565 0.754 0.907 1
H15 H 0.565 0.254 0.593 1
H16 H 0.435 0.246 0.093 1
H17 H 0.832 0.229 0.409 1
H18 H 0.168 0.271 0.909 1
H19 H 0.168 0.771 0.591 1
H20 H 0.832 0.729 0.091 1
H21 H 0.627 0.273 0.373 1
H22 H 0.373 0.227 0.873 1
H23 H 0.373 0.727 0.627 1
H24 H 0.627 0.773 0.127 1
H25 H 0.876 0.668 0.418 1
H26 H 0.124 0.832 0.918 1
H27 H 0.124 0.332 0.582 1
H28 H 0.876 0.168 0.082 1
H29 H 0.887 0.736 0.291 1
H30 H 0.113 0.764 0.791 1
H31 H 0.113 0.264 0.709 1
H32 H 0.887 0.236 0.209 1
H33 H 0.705 0.577 0.324 1
H34 H 0.295 0.923 0.824 1
H35 H 0.295 0.423 0.676 1
H36 H 0.705 0.077 0.176 1
H37 H 0.957 0.577 0.314 1
H38 H 0.043 0.923 0.814 1
H39 H 0.043 0.423 0.686 1
H40 H 0.957 0.077 0.186 1
Se1 Se 0.251 0.427 0.366 1
Se2 Se 0.749 0.073 0.866 1
Se3 Se 0.749 0.573 0.634 1
Se4 Se 0.251 0.927 0.134 1
N1 N 0.857 0.641 0.337 1
N2 N 0.143 0.859 0.837 1
N3 N 0.143 0.359 0.663 1
N4 N 0.857 0.141 0.163 1
O1 O 0.477 0.405 0.316 1
O2 O 0.523 0.095 0.816 1
O3 O 0.523 0.595 0.684 1
O4 O 0.477 0.905 0.184 1
O5 O 0.130 0.280 0.441 1
O6 O 0.870 0.220 0.941 1
O7 O 0.870 0.720 0.559 1
O8 O 0.130 0.780 0.059 1
O9 O 0.091 0.438 0.263 1
O10 O 0.909 0.062 0.763 1
O11 O 0.909 0.562 0.737 1
O12 O 0.091 0.938 0.237 1
O13 O 0.291 0.579 0.440 1
O14 O 0.709 0.921 0.940 1
O15 O 0.709 0.421 0.560 1
O16 O 0.291 0.079 0.060 1
O17 O 0.229 0.014 0.437 1
O18 O 0.771 0.486 0.937 1
O19 O 0.771 0.986 0.563 1
O20 O 0.229 0.514 0.063 1
O21 O 0.529 0.847 0.392 1
O22 O 0.471 0.653 0.892 1
O23 O 0.471 0.153 0.608 1
O24 O 0.529 0.347 0.108 1
O25 O 0.691 0.189 0.379 1
O26 O 0.309 0.311 0.879 1
O27 O 0.309 0.811 0.621 1
O28 O 0.691 0.689 0.121 1

***

(8)
# CuHSN2 (PBE, optimized geometry)
# energy above the most stable polymorph in this dataset	37	meV/atom
data_CuHSN2
_cell_length_a 3.664
_cell_length_b 3.664
_cell_length_c 5.231
_cell_angle_alpha 90.00
_cell_angle_beta 90.00
_cell_angle_gamma 90.00
_symmetry_space_group_name_H-M 'P 1'
_symmetry_Int_Tables_number 1
loop_
_symmetry_equiv_pos_as_xyz
'x,y,z'
loop_
_atom_site_label
_atom_site_type_symbol
_atom_site_fract_x
_atom_site_fract_y
_atom_site_fract_z
_atom_site_occupancy
H1 H 0.500 0.500 0.500 1
S1 S 0.000 0.000 0.500 1
Cu1 Cu 0.000 0.000 0.000 1
N1 N 0.000 0.500 0.000 1
N2 N 0.500 0.000 0.000 1